# 1
A plane-wave DFT calculation with PBE was carried out for AuC2IN after structural relaxation.

Cell lengths 4.0613, 4.7462, 4.0613 Å; angles 90.00, 90.00, 90.00 degrees
Positions (direct):
N1 0.0000 0.5000 0.0000
C1 0.0000 0.0000 0.5000
C2 0.5000 0.0000 0.0000
Au1 0.0000 0.0000 0.0000
I1 0.5000 0.5000 0.5000

Calculated values
E_form (uncorrected): 276 kJ/mol of atoms
SG: P4/mmm


# 2
A plane-wave DFT calculation with PBE was carried out for AuCI2O after structural relaxation.

Cell lengths 6.2333, 6.2333, 2.9520 Å; angles 90.00, 90.00, 90.00 degrees
Positions (direct):
I1 0.0000 0.5000 0.0000
I2 0.5000 0.0000 0.0000
C1 0.0000 0.0000 0.0000
Au1 0.5000 0.5000 0.5000
O1 0.0000 0.0000 0.5000

Calculated values
E_form (uncorrected): 95 kJ/mol of atoms
SG: P4/mmm